[1]
Computed, not measured: a crystal of Te3AsBr relaxed with PBEsol at the meta-GGA SCAN level of DFT.

Properties
Density of states at the Fermi level   5.7 states/eV per cell
ρ   5.63 g/cm³
Electronic total energy   -29.068 eV per atom
Uncorrected formation energy   1.21 eV per atom

abc: 5.412 5.412 5.412
angles: 90.00 90.00 90.00
Sites, in units of the cell vectors:
As 0.500 0.500 0.500
Te 0.000 0.500 0.000
Te 0.000 0.000 0.500
Te 0.500 0.000 0.000
Br 0.000 0.000 0.000


[2]
Computed, not measured: a crystal of LaTcTe2 relaxed with PBEsol at the meta-GGA SCAN level of DFT.

Properties
Density of states at the Fermi level   0.9 states/eV per cell
ρ   8.40 g/cm³
Electronic total energy   -38.900 eV per atom
Uncorrected formation energy   -0.73 eV per atom
Relative energy among the computed polymorphs   0 meV per atom

abc: 4.334 4.334 6.483
angles: 70.47 70.47 60.00
Sites, in units of the cell vectors:
La 0.000 0.000 0.000
Tc 0.500 0.500 0.500
Te 0.228 0.228 0.315
Te 0.772 0.772 0.685


[3]
Computed, not measured: a crystal of Re3Mo relaxed with PBEsol at the meta-GGA SCAN level of DFT.

Properties
Density of states at the Fermi level   3.8 states/eV per cell
ρ   10.75 g/cm³
Electronic total energy   -58.778 eV per atom

abc: 4.658 4.658 4.658
angles: 90.00 90.00 90.00
Sites, in units of the cell vectors:
Mo 0.000 0.000 0.000
Re 0.000 0.000 0.500
Re 0.000 0.500 0.000
Re 0.500 0.000 0.000


[4]
Computed, not measured: a crystal of Mg3Co4 relaxed with PBEsol at the meta-GGA SCAN level of DFT.

Properties
Density of states at the Fermi level   4.5 states/eV per cell
ρ   5.25 g/cm³
Electronic total energy   -11.949 eV per atom

abc: 2.862 2.862 12.094
angles: 96.80 96.80 90.00
Sites, in units of the cell vectors:
Mg 0.000 0.000 0.000
Mg 0.697 0.697 0.393
Mg 0.303 0.303 0.607
Co 0.877 0.877 0.754
Co 0.123 0.123 0.246
Co 0.573 0.573 0.147
Co 0.427 0.427 0.853


Magnetization (computed, μB/atom): 0.0007; 0.0000; 0.7732; 0.9946